# 1
Ac6TbPb10 after structural relaxation, computed with PBE.

Summary:
- Electronic total energy: -0.316 Ry per atom

a b c (Å): 6.864 10.010 10.010
angles (deg): 120.00 90.00 90.00
Element x y z (fractional)
Pb 0.808 0.000 0.241
Pb 0.192 0.759 0.000
Pb 0.500 0.667 0.333
Pb 0.192 0.241 0.241
Pb 0.000 0.333 0.667
Pb 0.500 0.333 0.667
Pb 0.808 0.241 0.000
Pb 0.192 0.000 0.759
Pb 0.808 0.759 0.759
Pb 0.000 0.667 0.333
Ac 0.738 0.609 0.000
Ac 0.738 0.000 0.609
Ac 0.738 0.391 0.391
Ac 0.262 0.000 0.391
Ac 0.262 0.609 0.609
Ac 0.262 0.391 0.000
Tb 0.500 0.000 0.000



# 2
AcTb2Pb2 after structural relaxation, computed with PBE.

Summary:
- Electronic total energy: -0.334 Ry per atom

a b c (Å): 4.872 4.872 7.880
angles (deg): 107.89 107.90 90.03
Element x y z (fractional)
Tb 0.250 0.750 0.500
Tb 0.750 0.250 0.500
Ac 0.000 0.000 0.000
Pb 0.608 0.608 0.214
Pb 0.392 0.392 0.786



# 3
AcTbPb6 after structural relaxation, computed with PBE.

Summary:
- Electronic total energy: -0.311 Ry per atom

a b c (Å): 4.996 4.996 9.874
angles (deg): 90.00 90.00 90.00
Element x y z (fractional)
Pb 0.000 0.500 0.739
Pb 0.500 0.500 0.500
Pb 0.000 0.500 0.261
Pb 0.500 0.500 0.000
Pb 0.500 0.000 0.739
Pb 0.500 0.000 0.261
Ac 0.000 0.000 0.000
Tb 0.000 0.000 0.500



# 4
Ac2Tb3Pb4 after structural relaxation, computed with PBE.

Summary:
- Electronic total energy: -0.339 Ry per atom

a b c (Å): 7.322 9.202 9.666
angles (deg): 90.00 112.26 90.00
Element x y z (fractional)
Tb 0.958 0.250 0.416
Tb 0.000 0.000 0.000
Tb 0.042 0.750 0.584
Tb 0.458 0.250 0.416
Tb 0.500 0.500 0.000
Tb 0.542 0.750 0.584
Pb 0.214 0.750 0.929
Pb 0.286 0.250 0.071
Pb 0.313 0.447 0.626
Pb 0.813 0.053 0.626
Pb 0.687 0.553 0.374
Pb 0.714 0.750 0.929
Pb 0.786 0.250 0.071
Pb 0.187 0.947 0.374
Ac 0.389 0.088 0.778
Ac 0.889 0.412 0.778
Ac 0.611 0.912 0.222
Ac 0.111 0.588 0.222



# 5
AcTbPb after structural relaxation, computed with PBE.

Summary:
- Electronic total energy: -0.339 Ry per atom

a b c (Å): 4.848 4.848 9.642
angles (deg): 104.56 104.56 89.99
Site moments in Bohr magnetons follow the coordinates.
Element x y z (fractional)
Ac 0.323 0.323 0.646  0.14
Ac 0.677 0.677 0.354  0.14
Tb 0.500 0.000 0.000  0.10
Tb 0.000 0.500 0.000  0.10
Pb 0.126 0.126 0.252  -0.01
Pb 0.874 0.874 0.748  -0.01



# 6
Ac3TbPb2 after structural relaxation, computed with PBE.

Summary:
- Electronic total energy: -0.312 Ry per atom

a b c (Å): 7.578 8.610 9.704
angles (deg): 116.34 112.98 90.00
Element x y z (fractional)
Ac 0.500 0.250 0.000
Ac 0.793 0.043 0.586
Ac 0.207 0.457 0.414
Ac 0.793 0.543 0.586
Ac 0.207 0.957 0.414
Ac 0.500 0.750 0.000
Pb 0.824 0.140 0.280
Pb 0.456 0.640 0.280
Pb 0.544 0.360 0.720
Pb 0.176 0.860 0.720
Tb 0.000 0.500 0.000
Tb 0.000 0.000 0.000



Formation energy from the elements for the records above, in order: -0.40; -0.39; -0.35; -0.51; -0.46; -0.18 eV/atom